No. 1
12
Lattice="6.770 -4.702 0.000 6.770 4.702 0.000 -0.968 0.000 8.091" Properties=species:S:1:pos:R:3 comment="K2PuTe3 | the Open Quantum Materials Database | GGA-PBE | relaxed" sg="C2/c (15)" density_g_cm3=4.5 m_tot_mub_per_cell=8.02 crystal_system=monoclinic e_tot_ev_per_cell=-62.63 pbc="T T T"
K 8.718 -1.584 1.531
K 8.235 1.584 5.576
K 3.853 1.584 6.560
K 4.337 -1.584 2.515
Te 6.044 -1.059 6.068
Te 10.997 -0.346 3.962
Te 10.513 0.346 8.008
Te 6.528 1.059 2.023
Te 1.574 0.346 4.129
Te 2.058 -0.346 0.083
Pu 6.528 3.936 2.023
Pu 6.044 -3.936 6.068

=====

No. 2
8
Lattice="-2.685 -2.052 -2.631 2.491 -6.941 2.871 -3.984 0.191 3.917" Properties=species:S:1:pos:R:3 comment="NdPaPO | the Open Quantum Materials Database | GGA-PBE | relaxed" sg="Pmc2_1 (26)" density_g_cm3=7.4 relative_energy_mev_per_atom=0 m_tot_mub_per_cell=2.06 crystal_system=orthorhombic pbc="T T T"
P -3.469 -5.331 4.212
P -2.205 -3.399 1.415
Nd -1.564 -5.884 6.185
Nd -1.433 -0.794 2.081
O 0.284 -5.595 4.075
O -3.294 -1.082 4.205
Pa -4.341 -2.894 3.201
Pa -1.327 -5.836 2.420

=====

No. 3
9
Lattice="5.335 0.000 0.000 -2.668 4.620 0.000 0.000 0.000 6.332" Properties=species:S:1:pos:R:3 comment="InRe3Si5 | the Open Quantum Materials Database | GGA-PBE | relaxed" sg="P6/mmm (191)" density_g_cm3=8.7 m_tot_mub_per_cell=0.00 crystal_system=hexagonal e_tot_ev_per_cell=-64.65 pbc="T T T"
Re 1.334 2.310 3.166
Re -1.334 2.310 3.166
Re 2.668 0.000 3.166
Si 2.668 1.540 5.166
Si 2.668 1.540 1.166
Si 0.000 0.000 3.166
Si 0.000 3.080 1.166
Si 0.000 3.080 5.166
In 0.000 0.000 0.000

=====

No. 4
8
Lattice="4.714 0.000 0.000 -2.357 4.083 0.000 0.000 0.000 9.132" Properties=species:S:1:pos:R:3 comment="Nd2Tl2Pd3Pt | the Open Quantum Materials Database | GGA-PBE | relaxed" sg="P3m1 (156)" density_g_cm3=11.4 m_tot_mub_per_cell=0.00 crystal_system=trigonal e_tot_ev_per_cell=-41.14 pbc="T T T"
Pd 0.000 0.000 8.277
Pd 0.000 0.000 5.365
Pd 0.000 2.722 3.783
Tl 2.357 1.361 4.578
Tl 2.357 1.361 9.119
Nd 0.000 0.000 2.249
Nd 0.000 2.722 6.868
Pt 0.000 2.722 0.854

=====

No. 5
4
Lattice="0.000 3.225 3.225 3.225 0.000 3.225 3.225 3.225 0.000" Properties=species:S:1:pos:R:3 comment="TlOsPd2 | the Open Quantum Materials Database | GGA-PBE | relaxed" sg="F-43m (216)" density_g_cm3=15.0 m_tot_mub_per_cell=1.68 crystal_system=cubic e_tot_ev_per_cell=-21.92 pbc="T T T"
Pd 4.838 4.838 4.838
Pd 0.000 0.000 0.000
Tl 3.225 3.225 3.225
Os 1.613 1.613 1.613

=====

No. 6
6
Lattice="0.000 4.425 4.425 4.425 0.000 4.425 4.425 4.425 0.000" Properties=species:S:1:pos:R:3 comment="Pr2Si | the Open Quantum Materials Database | GGA-PBE | relaxed" sg="Fd-3m (227)" density_g_cm3=5.9 m_tot_mub_per_cell=0.00 crystal_system=cubic e_tot_ev_per_cell=-27.08 pbc="T T T"
Pr 3.319 5.531 3.319
Pr 5.531 3.319 3.319
Pr 3.319 3.319 5.531
Pr 5.531 5.531 5.531
Si 0.000 0.000 0.000
Si 2.213 2.213 2.213

=====

Please write out number 6 again, unchanged.
6
Lattice="0.000 4.425 4.425 4.425 0.000 4.425 4.425 4.425 0.000" Properties=species:S:1:pos:R:3 comment="Pr2Si | the Open Quantum Materials Database | GGA-PBE | relaxed" sg="Fd-3m (227)" density_g_cm3=5.9 m_tot_mub_per_cell=0.00 crystal_system=cubic e_tot_ev_per_cell=-27.08 pbc="T T T"
Pr 3.319 5.531 3.319
Pr 5.531 3.319 3.319
Pr 3.319 3.319 5.531
Pr 5.531 5.531 5.531
Si 0.000 0.000 0.000
Si 2.213 2.213 2.213

=====

> Which formula does entry 5 have?

TlOsPd2

=====

> What is the formula in the fourth record?

Nd2Tl2Pd3Pt